(1)
Below is a geometry-optimized InAgGeTe2S structure, with properties calculated at the PBE-GGA level.

Values from the calculation:
The energy comes out at -3.459 eV per atom.

abc: 3.993 13.601 11.076
angles: 90.00 90.00 90.00
Space group Cmcm (No. 63)
Symmetry-distinct sites (fractional):
In 0.000 0.244 0.250 [4 per cell]
Ag 0.000 0.019 0.750 [4 per cell]
Ge 0.000 0.500 0.000 [4 per cell]
Te 0.000 0.151 0.557 [8 per cell]
S 0.000 0.400 0.750 [4 per cell]



(2)
Below is a geometry-optimized Ta2InTe2 structure, with properties calculated at the PBE-GGA level.

Values from the calculation:
As for the magnetization: 0.00 μB per formula unit. The energy comes out at -6.211 eV per atom.

abc: 5.445 5.445 8.579
angles: 90.00 90.00 90.00
Space group I4/mmm (No. 139)
Symmetry-distinct sites (fractional):
Ta 0.000 0.000 0.143 [4 per cell]
In 0.000 0.000 0.500 [2 per cell]
Te 0.000 0.500 0.250 [4 per cell]



(3)
Below is a geometry-optimized TlAgTe2PbS structure, with properties calculated at the PBE-GGA level.

Values from the calculation:
The energy comes out at -3.392 eV per atom.

abc: 4.424 13.366 11.922
angles: 90.00 90.00 90.00
Space group Cmcm (No. 63)
Symmetry-distinct sites (fractional):
Tl 0.000 0.196 0.250 [4 per cell]
Ag 0.000 0.072 0.750 [4 per cell]
Te 0.000 0.166 0.535 [8 per cell]
Pb 0.000 0.500 0.000 [4 per cell]
S 0.000 0.471 0.750 [4 per cell]



(4)
Below is a geometry-optimized LiNi2Sn structure, with properties calculated at the PBE-GGA level.

Values from the calculation:
As for the magnetization: 0.00 μB per formula unit. The energy comes out at -4.491 eV per atom.

abc: 3.858 3.858 3.603
angles: 90.00 90.00 90.00
Space group P4/mmm (No. 123)
Symmetry-distinct sites (fractional):
Li 0.000 0.000 0.000 [1 per cell]
Ni 0.000 0.500 0.500 [2 per cell]
Sn 0.500 0.500 0.000 [1 per cell]



(5)
Below is a geometry-optimized HoMgGa4Pt2 structure, with properties calculated at the PBE-GGA level.

Values from the calculation:
As for the magnetization: 0.01 μB per formula unit. The energy comes out at -4.545 eV per atom.

abc: 6.876 4.257 9.855
angles: 90.00 90.00 90.00
Space group Amm2 (No. 38)
Symmetry-distinct sites (fractional):
Ho 0.000 0.000 0.000 [2 per cell]
Mg 0.500 0.000 0.844 [2 per cell]
Ga 0.205 0.000 0.290 [4 per cell]
Ga 0.304 0.000 0.557 [4 per cell]
Pt 0.000 0.000 0.714 [2 per cell]
Pt 0.500 0.000 0.126 [2 per cell]



(6)
Below is a geometry-optimized Cu2SnOs structure, with properties calculated at the PBE-GGA level.

Values from the calculation:
As for the magnetization: 0.00 μB per formula unit. The energy comes out at -5.356 eV per atom.

abc: 6.200 6.200 6.200
angles: 90.00 90.00 90.00
Space group F-43m (No. 216)
Symmetry-distinct sites (fractional):
Cu 0.000 0.000 0.000 [4 per cell]
Cu 0.250 0.250 0.250 [4 per cell]
Sn 0.000 0.000 0.500 [4 per cell]
Os 0.250 0.250 0.750 [4 per cell]



(7)
Below is a geometry-optimized TlCu3PdS4 structure, with properties calculated at the PBE-GGA level.

Values from the calculation:
The energy comes out at -3.991 eV per atom.

abc: 5.683 5.683 5.683
angles: 90.00 90.00 90.00
Space group P-43m (No. 215)
Symmetry-distinct sites (fractional):
Tl 0.000 0.000 0.000 [1 per cell]
Cu 0.000 0.500 0.500 [3 per cell]
Pd 0.500 0.500 0.500 [1 per cell]
S 0.263 0.263 0.263 [4 per cell]



(8)
Below is a geometry-optimized Zr2Nb structure, with properties calculated at the PBE-GGA level.

Values from the calculation:
As for the magnetization: 0.00 μB per formula unit. The energy comes out at -8.913 eV per atom.

abc: 5.097 8.818 5.730
angles: 90.00 90.00 90.00
Space group Pmmn (No. 59, origin choice 2)
Symmetry-distinct sites (fractional):
Zr 0.250 0.078 0.142 [4 per cell]
Zr 0.250 0.250 0.636 [2 per cell]
Zr 0.250 0.750 0.074 [2 per cell]
Nb 0.250 0.592 0.590 [4 per cell]



(9)
Below is a geometry-optimized BeGaCoAu structure, with properties calculated at the PBE-GGA level.

Values from the calculation:
As for the magnetization: 0.96 μB per formula unit. The energy comes out at -4.330 eV per atom.

abc: 5.898 5.898 5.898
angles: 90.00 90.00 90.00
Space group F-43m (No. 216)
Symmetry-distinct sites (fractional):
Be 0.000 0.000 0.000 [4 per cell]
Ga 0.000 0.000 0.500 [4 per cell]
Co 0.250 0.250 0.750 [4 per cell]
Au 0.250 0.250 0.250 [4 per cell]



(10)
Below is a geometry-optimized NaMg2AgAu4 structure, with properties calculated at the PBE-GGA level.

Values from the calculation:
The energy comes out at -2.899 eV per atom.

abc: 4.627 4.627 6.909
angles: 90.00 90.00 90.00
Space group P4/mmm (No. 123)
Symmetry-distinct sites (fractional):
Na 0.000 0.000 0.000 [1 per cell]
Mg 0.000 0.000 0.500 [1 per cell]
Mg 0.500 0.500 0.000 [1 per cell]
Ag 0.500 0.500 0.500 [1 per cell]
Au 0.000 0.500 0.251 [4 per cell]



(11)
Below is a geometry-optimized ErHfBe2Si2 structure, with properties calculated at the PBE-GGA level.

Values from the calculation:
As for the magnetization: 0.01 μB per formula unit. The energy comes out at -6.129 eV per atom.

abc: 3.7598 3.7598 7.5817
angles: 90.00 90.00 120.00
Space group P-3m1 (No. 164)
Symmetry-distinct sites (fractional):
Er 0.0000 0.0000 0.0000 [1 per cell]
Hf 0.0000 0.0000 0.5000 [1 per cell]
Be 0.3333 0.6667 0.2714 [2 per cell]
Si 0.3333 0.6667 0.7374 [2 per cell]



(12)
Below is a geometry-optimized NiSe2 structure, with properties calculated at the PBE-GGA level.

Values from the calculation:
As for the magnetization: 0.00 μB per formula unit. The energy comes out at -4.245 eV per atom.

abc: 7.333 3.345 10.111
angles: 90.00 90.00 90.00
Space group Pnma (No. 62)
Symmetry-distinct sites (fractional):
Ni 0.164 0.250 0.036 [4 per cell]
Se 0.017 0.750 0.158 [4 per cell]
Se 0.139 0.250 0.449 [4 per cell]



(13)
Below is a geometry-optimized Zr structure, with properties calculated at the PBE-GGA level.

Values from the calculation:
As for the magnetization: 0.00 μB per formula unit. The energy comes out at -8.521 eV per atom.

abc: 3.2182 3.2182 23.4211
angles: 90.00 90.00 120.00
Space group R-3m (No. 166, hexagonal axes)
Symmetry-distinct sites (fractional):
Zr 0.0000 0.0000 0.0000 [3 per cell]
Zr 0.0000 0.0000 0.2227 [6 per cell]



(14)
Below is a geometry-optimized LiCuNiMo structure, with properties calculated at the PBE-GGA level.

Values from the calculation:
As for the magnetization: 0.00 μB per formula unit. The energy comes out at -5.309 eV per atom.

abc: 5.781 5.781 5.781
angles: 90.00 90.00 90.00
Space group F-43m (No. 216)
Symmetry-distinct sites (fractional):
Li 0.000 0.000 0.000 [4 per cell]
Cu 0.250 0.250 0.250 [4 per cell]
Ni 0.000 0.000 0.500 [4 per cell]
Mo 0.250 0.250 0.750 [4 per cell]



(15)
Below is a geometry-optimized LiUTe3Au structure, with properties calculated at the PBE-GGA level.

Values from the calculation:
As for the magnetization: 1.98 μB per formula unit. The energy comes out at -4.921 eV per atom.

abc: 4.203 15.003 11.158
angles: 90.00 90.00 90.00
Space group Cmcm (No. 63)
Symmetry-distinct sites (fractional):
Li 0.000 0.166 0.250 [4 per cell]
U 0.000 0.000 0.000 [4 per cell]
Te 0.000 0.093 0.750 [4 per cell]
Te 0.000 0.355 0.558 [8 per cell]
Au 0.000 0.472 0.750 [4 per cell]



(16)
Below is a geometry-optimized ZnAg2As2 structure, with properties calculated at the PBE-GGA level.

Values from the calculation:
The energy comes out at -3.110 eV per atom.

abc: 3.924 15.846 6.416
angles: 90.00 90.00 90.00
Space group Cmc2_1 (No. 36)
Symmetry-distinct sites (fractional):
Zn 0.000 0.107 0.000 [4 per cell]
Ag 0.000 0.321 0.839 [4 per cell]
Ag 0.000 0.434 0.188 [4 per cell]
As 0.000 0.050 0.383 [4 per cell]
As 0.000 0.293 0.430 [4 per cell]



(17)
Below is a geometry-optimized CsBOs structure, with properties calculated at the PBE-GGA level.

Values from the calculation:
As for the magnetization: 0.01 μB per formula unit. The energy comes out at -3.830 eV per atom.

abc: 6.230 6.230 6.230
angles: 90.00 90.00 90.00
Space group F-43m (No. 216)
Symmetry-distinct sites (fractional):
Cs 0.000 0.000 0.000 [4 per cell]
B 0.000 0.000 0.500 [4 per cell]
Os 0.250 0.250 0.750 [4 per cell]



(18)
Below is a geometry-optimized TbCuSnSeS2 structure, with properties calculated at the PBE-GGA level.

Values from the calculation:
As for the magnetization: 0.00 μB per formula unit. The energy comes out at -5.020 eV per atom.

abc: 3.898 13.248 10.426
angles: 90.00 90.00 90.00
Space group Cmcm (No. 63)
Symmetry-distinct sites (fractional):
Tb 0.000 0.000 0.000 [4 per cell]
Cu 0.000 0.468 0.250 [4 per cell]
Sn 0.000 0.228 0.750 [4 per cell]
Se 0.000 0.088 0.250 [4 per cell]
S 0.000 0.364 0.071 [8 per cell]



(19)
Below is a geometry-optimized BaTcB4 structure, with properties calculated at the PBE-GGA level.

Values from the calculation:
As for the magnetization: 0.00 μB per formula unit. The energy comes out at -5.917 eV per atom.

abc: 3.109 5.691 8.088
angles: 90.00 90.00 90.00
Space group Immm (No. 71)
Symmetry-distinct sites (fractional):
Ba 0.000 0.000 0.000 [2 per cell]
Tc 0.000 0.000 0.500 [2 per cell]
B 0.000 0.347 0.233 [8 per cell]



(20)
Below is a geometry-optimized ScZn structure, with properties calculated at the PBE-GGA level.

Values from the calculation:
As for the magnetization: 0.00 μB per formula unit. The energy comes out at -4.060 eV per atom.

abc: 3.984 4.433 4.091
angles: 90.00 90.00 90.00
Space group Pmmn (No. 59, origin choice 2)
Symmetry-distinct sites (fractional):
Sc 0.250 0.250 0.017 [2 per cell]
Zn 0.250 0.750 0.495 [2 per cell]